Record 1
First-principles (PBE) data for LaPr3NdEr after structural relaxation, as listed in Alexandria.

Its calculated formation energy is 19 meV/atom. The density of states at the Fermi level is 19.47 states/eV/cell.

It has space group P2_1/m (No. 11), with a = 8.2031 Å, b = 5.2312 Å, c = 10.4155 Å, α = 90.00°, β = 108.49° and γ = 90.00°. The distinct sites, in fractional coordinates, are La at (0.1687, 0.2500, 0.2904), Pr at (0.1693, 0.7500, 0.5441), Pr at (0.1715, 0.2500, 0.7940), Pr at (0.1723, 0.7500, 0.0411), Nd at (0.4998, 0.2500, 0.6273) and Er at (0.4980, 0.7500, 0.8775).



Record 2
First-principles (PBE) data for LaPr2Nd5Er after structural relaxation, as listed in Alexandria.

Its calculated formation energy is 262 meV/atom. The density of states at the Fermi level is 55.91 states/eV/cell.

It has space group I4/mcm (No. 140), with a = 8.9542 Å, b = 8.9542 Å, c = 16.0457 Å, α = 90.00°, β = 90.00° and γ = 90.00°. The distinct sites, in fractional coordinates, are La at (0.0000, 0.0000, 0.2500), Pr at (0.1180, 0.3820, 0.0000), Nd at (0.0000, 0.0000, 0.0000), Nd at (0.2100, 0.2900, 0.3612) and Er at (0.0000, 0.5000, 0.2500).



Record 3
First-principles (PBE) data for La2Pr4NdEr after structural relaxation, as listed in Alexandria.

Its calculated formation energy is 18 meV/atom. The density of states at the Fermi level is 13.61 states/eV/cell.

It has space group P2/m (No. 10), with a = 5.2063 Å, b = 5.2224 Å, c = 10.4871 Å, α = 90.00°, β = 90.08° and γ = 90.00°. The distinct sites, in fractional coordinates, are La at (0.0000, 0.0000, 0.0000), La at (0.5000, 0.5000, 0.5000), Pr at (0.9995, 0.5000, 0.2473), Pr at (0.5001, 0.0000, 0.2479), Nd at (0.0000, 0.0000, 0.5000) and Er at (0.5000, 0.5000, 0.0000).



Record 4
First-principles (PBE) data for La2Pr4Nd2Er after structural relaxation, as listed in Alexandria.

Its calculated formation energy is 13 meV/atom. The density of states at the Fermi level is 25.46 states/eV/cell.

It has space group C2/m (No. 12), with a = 19.2917 Å, b = 3.7250 Å, c = 9.9101 Å, α = 90.00°, β = 115.48° and γ = 90.00°. The distinct sites, in fractional coordinates, are La at (0.1648, 0.0000, 0.9995), Pr at (0.0180, 0.0000, 0.3290), Pr at (0.1850, 0.5000, 0.3326), Nd at (0.1475, 0.5000, 0.6681) and Er at (0.0000, 0.5000, 0.0000).



Record 5
First-principles (PBE) data for LaPr2NdEr after structural relaxation, as listed in Alexandria.

Its calculated formation energy is 258 meV/atom. The density of states at the Fermi level is 13.71 states/eV/cell.

It has space group P2/c (No. 13), with a = 8.6043 Å, b = 6.6058 Å, c = 6.3800 Å, α = 90.00°, β = 95.05° and γ = 90.00°. The distinct sites, in fractional coordinates, are La at (0.0000, 0.0000, 0.0000), Pr at (0.3128, 0.3092, 0.2210), Nd at (0.0000, 0.4372, 0.7500) and Er at (0.5000, 0.1661, 0.7500).



Record 6
First-principles (PBE) data for La6PrNdEr2 after structural relaxation, as listed in Alexandria.

Its calculated formation energy is 184 meV/atom. The density of states at the Fermi level is 37.62 states/eV/cell.

It has space group C2/m (No. 12), with a = 11.3436 Å, b = 7.2670 Å, c = 8.9651 Å, α = 90.00°, β = 102.52° and γ = 90.00°. The distinct sites, in fractional coordinates, are La at (0.1421, 0.0000, 0.4418), La at (0.1774, 0.2785, 0.8025), Pr at (0.0000, 0.0000, 0.0000), Nd at (0.0000, 0.5000, 0.5000) and Er at (0.0931, 0.5000, 0.1585).



Record 7
First-principles (PBE) data for La5PrNdEr2 after structural relaxation, as listed in Alexandria.

Its calculated formation energy is 138 meV/atom. The density of states at the Fermi level is 56.29 states/eV/cell.

It has space group Cmc2_1 (No. 36), with a = 5.7992 Å, b = 20.8517 Å, c = 10.7265 Å, α = 90.00°, β = 90.00° and γ = 90.00°. The distinct sites, in fractional coordinates, are La at (0.0000, 0.0158, 0.0000), La at (0.0000, 0.2790, 0.2979), La at (0.0000, 0.2950, 0.6872), La at (0.0000, 0.3871, 0.0062), La at (0.0000, 0.4797, 0.7251), Pr at (0.0000, 0.4112, 0.4326), Nd at (0.0000, 0.1981, 0.9950), Er at (0.0000, 0.1146, 0.7169) and Er at (0.0000, 0.1166, 0.2994).



Record 8
First-principles (PBE) data for La5PrNd2Er after structural relaxation, as listed in Alexandria.

Its calculated formation energy is 261 meV/atom. The density of states at the Fermi level is 65.17 states/eV/cell.

It has space group I4/mcm (No. 140), with a = 9.1655 Å, b = 9.1655 Å, c = 15.4912 Å, α = 90.00°, β = 90.00° and γ = 90.00°. The distinct sites, in fractional coordinates, are La at (0.0000, 0.0000, 0.0000), La at (0.2097, 0.2903, 0.1396), Pr at (0.0000, 0.0000, 0.2500), Nd at (0.1146, 0.3854, 0.5000) and Er at (0.0000, 0.5000, 0.2500).



Record 9
First-principles (PBE) data for La4Pr2NdEr after structural relaxation, as listed in Alexandria.

Its calculated formation energy is 13 meV/atom. The density of states at the Fermi level is 12.59 states/eV/cell.

It has space group Pmmm (No. 47), with a = 5.2358 Å, b = 5.2657 Å, c = 10.3568 Å, α = 90.00°, β = 90.00° and γ = 90.00°. The distinct sites, in fractional coordinates, are La at (0.0000, 0.0000, 0.2474), La at (0.5000, 0.5000, 0.2480), Pr at (0.0000, 0.5000, 0.0000), Pr at (0.5000, 0.0000, 0.5000), Nd at (0.0000, 0.5000, 0.5000) and Er at (0.5000, 0.0000, 0.0000).



Record 10
First-principles (PBE) data for La2PrNd6Er after structural relaxation, as listed in Alexandria.

Its calculated formation energy is 108 meV/atom. The density of states at the Fermi level is 59.91 states/eV/cell.

It has space group C2/c (No. 15), with a = 9.2668 Å, b = 15.3589 Å, c = 10.1067 Å, α = 90.00°, β = 99.61° and γ = 90.00°. The distinct sites, in fractional coordinates, are La at (0.2437, 0.0483, 0.0418), Pr at (0.0000, 0.0129, 0.7500), Nd at (0.0702, 0.1901, 0.4448), Nd at (0.0978, 0.3964, 0.6196), Nd at (0.2038, 0.2197, 0.8111) and Er at (0.0000, 0.4061, 0.2500).



| no. | total magnetic moment (μB/f.u.) |
| --- | --- |
| 1 | 0.00 |
| 2 | 0.00 |
| 3 | 0.00 |
| 4 | 0.00 |
| 5 | 0.00 |
| 6 | 0.00 |
| 7 | 0.00 |
| 8 | 0.00 |
| 9 | 0.00 |
| 10 | 0.00 |